Entry from Alexandria: a geometry-optimized TaTeAu2S structure (PBE).

The structure belongs to space group P4/mmm (No. 123); the cell edges are 5.136, 5.136 and 5.069 Å and the angles 90.00°, 90.00° and 90.00°. The inequivalent atoms are Ta at (0.000, 0.000, 0.000), Te at (0.500, 0.500, 0.500), Au at (0.000, 0.500, 0.500) and S at (0.500, 0.500, 0.000).

The density of states at the Fermi level is 1.207 states/eV per atom. The formation energy from raw total energies is 1.38 eV per atom. Its total energy is -18.78 eV/f.u.